# NiAsI2O | the Alexandria database | PBE+U | optimized geometry
data_NiAsI2O
_chemical_formula_sum 'Ni1 As1 I2 O1'
_cell_length_a 5.7729
_cell_length_b 5.7729
_cell_length_c 3.8100
_cell_angle_alpha 90.00
_cell_angle_beta 90.00
_cell_angle_gamma 90.00
_symmetry_space_group_name_H-M 'P 4/m m m'
_symmetry_Int_Tables_number 123
_symmetry_space_group_name_Hall '-P 4 2'
loop_
_atom_site_label
_atom_site_type_symbol
_atom_site_fract_x
_atom_site_fract_y
_atom_site_fract_z
Ni1 Ni 0.0000 0.0000 0.0000
As1 As 0.5000 0.5000 0.5000
I1 I 0.0000 0.5000 0.5000
O1 O 0.5000 0.5000 0.0000
# - Total magnetization: 1.00 μB/f.u.
# - Excess energy over the best structure of this formula in the dataset: 0 meV per atom
# - Calculated total energy: -2.918 eV/atom